[1]
LaNi2Rh GGA-PBE optimized geometry; polymorph energy (0 for the lowest one) = 0.902 eV/atom; E = -21.79 eV per cell; SG = R-3m, No. 166; calculated density = 8.903 Mg/m³
1.0
1.468 0.847 8.978
-1.468 0.847 8.978
0.000 -1.695 8.978
La Ni Rh
1 2 1
Direct
0.000 0.000 0.000
0.239 0.239 0.239
0.761 0.761 0.761
0.500 0.500 0.500



[2]
LaNi3Rh2 GGA-PBE optimized geometry; polymorph energy (0 for the lowest one) = 0.075 eV/atom; E = -38.62 eV per cell; SG = P6/mmm, No. 191; calculated density = 9.147 Mg/m³
1.0
5.095 0.000 0.000
-2.548 4.412 0.000
0.000 0.000 4.205
La Ni Rh
1 3 2
Direct
0.000 0.000 0.000
0.000 0.500 0.500
0.500 0.000 0.500
0.500 0.500 0.500
0.333 0.667 0.000
0.667 0.333 0.000



[3]
La4Ni2Rh GGA-PBE optimized geometry; E = -83.07 eV per cell; SG = C2, No. 5; calculated density = 7.181 Mg/m³
1.0
6.273 -4.476 0.000
6.273 4.476 0.000
-6.273 0.000 6.390
La Ni Rh
8 4 2
Direct
0.048 0.048 0.351
0.330 0.553 0.749
0.446 0.168 0.248
0.447 0.670 0.251
0.554 0.054 0.851
0.832 0.554 0.752
0.946 0.446 0.149
0.952 0.952 0.649
0.200 0.309 0.877
0.572 0.184 0.623
0.691 0.800 0.123
0.816 0.428 0.377
0.074 0.926 0.000
0.323 0.677 0.500



no.,calculated volume (Å³ per atom)
1,16.7
2,15.8
3,25.6